1.
Below is an optimized crystal structure of YP2Pb, with properties calculated at the PBE level. Values from VASP.

Calculated values
Fermi-level density of states: 2.25 states/eV/cell
SG: P4mm
Energy of formation: -622 meV per atom
Calculated volume: 96.01 Å³/cell

Cell and atoms, written as Quantum ESPRESSO input:
```
&SYSTEM
  ibrav = 0, nat = 4, ntyp = 3
/
ATOMIC_SPECIES
Y 88.91 Y.upf
P 30.97 P.upf
Pb 207.20 Pb.upf
CELL_PARAMETERS angstrom
4.027 0.000 0.000
0.000 4.027 0.000
0.000 0.000 5.921
ATOMIC_POSITIONS crystal
Y 0.000 0.000 0.000
P 0.000 0.000 0.500
P 0.500 0.500 0.000
Pb 0.500 0.500 0.501
```

=====

2.
Below is an optimized crystal structure of Y2PPb2, with properties calculated at the PBE level. Values from VASP.

Calculated values
Fermi-level density of states: 4.70 states/eV/cell
ΔE to the lowest computed polymorph: 373.0 meV/atom
SG: P4/mbm
Energy of formation: -248 meV per atom
Calculated volume: 272.99 Å³/cell

Cell and atoms, written as Quantum ESPRESSO input:
```
&SYSTEM
  ibrav = 0, nat = 10, ntyp = 3
/
ATOMIC_SPECIES
Y 88.91 Y.upf
P 30.97 P.upf
Pb 207.20 Pb.upf
CELL_PARAMETERS angstrom
7.799 0.000 0.000
0.000 7.799 0.000
0.000 0.000 4.489
ATOMIC_POSITIONS crystal
Y 0.170 0.330 0.000
Y 0.330 0.830 0.000
Y 0.670 0.170 0.000
Y 0.830 0.670 0.000
P 0.000 0.000 0.500
P 0.500 0.500 0.500
Pb 0.140 0.640 0.500
Pb 0.360 0.140 0.500
Pb 0.640 0.860 0.500
Pb 0.860 0.360 0.500
```

=====

3.
Below is an optimized crystal structure of YP2Pb, with properties calculated at the PBE level. Values from VASP.

Calculated values
Fermi-level density of states: 1.64 states/eV/cell
SG: Amm2
Energy of formation: -570 meV per atom
Calculated volume: 187.43 Å³/cell

Cell and atoms, written as Quantum ESPRESSO input:
```
&SYSTEM
  ibrav = 0, nat = 8, ntyp = 3
/
ATOMIC_SPECIES
Y 88.91 Y.upf
P 30.97 P.upf
Pb 207.20 Pb.upf
CELL_PARAMETERS angstrom
4.127 0.000 0.000
0.000 3.822 0.000
0.000 0.000 11.886
ATOMIC_POSITIONS crystal
Y 0.000 0.000 0.000
Y 0.000 0.500 0.500
P 0.000 0.000 0.695
P 0.000 0.500 0.195
P 0.500 0.000 0.460
P 0.500 0.500 0.960
Pb 0.500 0.000 0.240
Pb 0.500 0.500 0.740
```

=====

4.
Below is an optimized crystal structure of YPPb2, with properties calculated at the PBE level. Values from VASP.

Calculated values
Fermi-level density of states: 6.89 states/eV/cell
SG: R3m
Energy of formation: -414 meV per atom
Calculated volume: 347.52 Å³/cell

Cell and atoms, written as Quantum ESPRESSO input:
```
&SYSTEM
  ibrav = 0, nat = 12, ntyp = 3
/
ATOMIC_SPECIES
Y 88.91 Y.upf
P 30.97 P.upf
Pb 207.20 Pb.upf
CELL_PARAMETERS angstrom
3.988 0.000 0.000
-1.994 3.454 0.000
0.000 0.000 25.227
ATOMIC_POSITIONS crystal
Y 0.000 0.000 0.000
Y 0.333 0.667 0.667
Y 0.667 0.333 0.333
P 0.000 0.000 0.726
P 0.333 0.667 0.392
P 0.667 0.333 0.059
Pb 0.000 0.000 0.234
Pb 0.000 0.000 0.465
Pb 0.333 0.667 0.131
Pb 0.333 0.667 0.901
Pb 0.667 0.333 0.568
Pb 0.667 0.333 0.798
```

=====

5.
Below is an optimized crystal structure of YPPb2, with properties calculated at the PBE level. Values from VASP.

Calculated values
Fermi-level density of states: 1.09 states/eV/cell
SG: P4mm
Energy of formation: -483 meV per atom
Calculated volume: 113.21 Å³/cell

Cell and atoms, written as Quantum ESPRESSO input:
```
&SYSTEM
  ibrav = 0, nat = 4, ntyp = 3
/
ATOMIC_SPECIES
Y 88.91 Y.upf
P 30.97 P.upf
Pb 207.20 Pb.upf
CELL_PARAMETERS angstrom
4.041 0.000 0.000
0.000 4.041 0.000
0.000 0.000 6.934
ATOMIC_POSITIONS crystal
Y 0.000 0.000 0.000
P 0.500 0.500 0.053
Pb 0.000 0.000 0.471
Pb 0.500 0.500 0.664
```

=====

6.
Below is an optimized crystal structure of YPPb2, with properties calculated at the PBE level. Values from VASP.

Calculated values
Fermi-level density of states: 9.66 states/eV/cell
SG: R-3m
Energy of formation: 29 meV per atom
Calculated volume: 328.17 Å³/cell

Cell and atoms, written as Quantum ESPRESSO input:
```
&SYSTEM
  ibrav = 0, nat = 12, ntyp = 3
/
ATOMIC_SPECIES
Y 88.91 Y.upf
P 30.97 P.upf
Pb 207.20 Pb.upf
CELL_PARAMETERS angstrom
3.846 0.000 0.000
-1.923 3.331 0.000
0.000 0.000 25.620
ATOMIC_POSITIONS crystal
Y 0.000 0.000 0.000
Y 0.333 0.667 0.667
Y 0.667 0.333 0.333
P 0.000 0.000 0.500
P 0.333 0.667 0.167
P 0.667 0.333 0.833
Pb 0.000 0.000 0.235
Pb 0.000 0.000 0.765
Pb 0.333 0.667 0.431
Pb 0.333 0.667 0.902
Pb 0.667 0.333 0.098
Pb 0.667 0.333 0.569
```

=====

7.
Below is an optimized crystal structure of Y3PPb, with properties calculated at the PBE level. Values from VASP.

Calculated values
Fermi-level density of states: 8.40 states/eV/cell
ΔE to the lowest computed polymorph: 71.6 meV/atom
SG: Cmcm
Energy of formation: -843 meV per atom
Calculated volume: 275.91 Å³/cell

Cell and atoms, written as Quantum ESPRESSO input:
```
&SYSTEM
  ibrav = 0, nat = 10, ntyp = 3
/
ATOMIC_SPECIES
Y 88.91 Y.upf
P 30.97 P.upf
Pb 207.20 Pb.upf
CELL_PARAMETERS angstrom
1.953 -11.532 0.000
1.953 11.532 0.000
0.000 0.000 6.126
ATOMIC_POSITIONS crystal
Y 0.000 0.000 0.000
Y 0.000 0.000 0.500
Y 0.207 0.793 0.750
Y 0.373 0.627 0.750
Y 0.627 0.373 0.250
Y 0.793 0.207 0.250
P 0.209 0.791 0.250
P 0.791 0.209 0.750
Pb 0.408 0.592 0.250
Pb 0.592 0.408 0.750
```

=====

8.
Below is an optimized crystal structure of Y3PPb, with properties calculated at the PBE level. Values from VASP.

Calculated values
Fermi-level density of states: 8.41 states/eV/cell
ΔE to the lowest computed polymorph: 72.9 meV/atom
SG: C2/m
Energy of formation: -841 meV per atom
Calculated volume: 276.66 Å³/cell

Cell and atoms, written as Quantum ESPRESSO input:
```
&SYSTEM
  ibrav = 0, nat = 10, ntyp = 3
/
ATOMIC_SPECIES
Y 88.91 Y.upf
P 30.97 P.upf
Pb 207.20 Pb.upf
CELL_PARAMETERS angstrom
7.619 -1.920 0.000
7.619 1.920 0.000
-0.491 0.000 9.456
ATOMIC_POSITIONS crystal
Y 0.041 0.041 0.207
Y 0.333 0.333 0.076
Y 0.375 0.375 0.444
Y 0.625 0.625 0.556
Y 0.667 0.667 0.924
Y 0.959 0.959 0.793
P 0.000 0.000 0.500
P 0.500 0.500 0.000
Pb 0.282 0.282 0.732
Pb 0.718 0.718 0.268
```

=====

9.
Below is an optimized crystal structure of Y3PPb, with properties calculated at the PBE level. Values from VASP.

Calculated values
Fermi-level density of states: 12.10 states/eV/cell
ΔE to the lowest computed polymorph: 921.5 meV/atom
SG: R3m
Energy of formation: 7 meV per atom
Calculated volume: 611.40 Å³/cell

Cell and atoms, written as Quantum ESPRESSO input:
```
&SYSTEM
  ibrav = 0, nat = 15, ntyp = 3
/
ATOMIC_SPECIES
Y 88.91 Y.upf
P 30.97 P.upf
Pb 207.20 Pb.upf
CELL_PARAMETERS angstrom
8.450 0.000 0.000
-4.225 7.318 0.000
0.000 0.000 9.888
ATOMIC_POSITIONS crystal
Y 0.197 0.393 0.000
Y 0.197 0.803 0.000
Y 0.273 0.137 0.333
Y 0.530 0.060 0.667
Y 0.530 0.470 0.667
Y 0.607 0.803 0.000
Y 0.863 0.137 0.333
Y 0.863 0.727 0.333
Y 0.940 0.470 0.667
P 0.000 0.000 0.516
P 0.333 0.667 0.183
P 0.667 0.333 0.849
Pb 0.000 0.000 0.091
Pb 0.333 0.667 0.757
Pb 0.667 0.333 0.424
```

=====

10.
Below is an optimized crystal structure of Y3PPb, with properties calculated at the PBE level. Values from VASP.

Calculated values
Fermi-level density of states: 16.02 states/eV/cell
ΔE to the lowest computed polymorph: 72.5 meV/atom
SG: C2/c
Energy of formation: -842 meV per atom
Calculated volume: 568.10 Å³/cell

Cell and atoms, written as Quantum ESPRESSO input:
```
&SYSTEM
  ibrav = 0, nat = 20, ntyp = 3
/
ATOMIC_SPECIES
Y 88.91 Y.upf
P 30.97 P.upf
Pb 207.20 Pb.upf
CELL_PARAMETERS angstrom
6.101 -7.056 0.000
6.101 7.056 0.000
-0.797 0.000 6.598
ATOMIC_POSITIONS crystal
Y 0.042 0.771 0.950
Y 0.162 0.574 0.384
Y 0.229 0.958 0.550
Y 0.297 0.442 0.886
Y 0.426 0.838 0.116
Y 0.442 0.297 0.386
Y 0.558 0.703 0.614
Y 0.574 0.162 0.884
Y 0.703 0.558 0.114
Y 0.771 0.042 0.450
Y 0.838 0.426 0.616
Y 0.958 0.229 0.050
P 0.285 0.715 0.750
P 0.433 0.567 0.250
P 0.567 0.433 0.750
P 0.715 0.285 0.250
Pb 0.093 0.248 0.528
Pb 0.248 0.093 0.028
Pb 0.752 0.907 0.972
Pb 0.907 0.752 0.472
```

=====

11.
Below is an optimized crystal structure of YPPb, with properties calculated at the PBE level. Values from VASP.

Calculated values
Fermi-level density of states: 2.37 states/eV/cell
ΔE to the lowest computed polymorph: 208.9 meV/atom
SG: Amm2
Energy of formation: -472 meV per atom
Calculated volume: 244.02 Å³/cell

Cell and atoms, written as Quantum ESPRESSO input:
```
&SYSTEM
  ibrav = 0, nat = 9, ntyp = 3
/
ATOMIC_SPECIES
Y 88.91 Y.upf
P 30.97 P.upf
Pb 207.20 Pb.upf
CELL_PARAMETERS angstrom
4.026 0.000 0.000
0.000 8.622 3.515
0.000 -8.622 3.515
ATOMIC_POSITIONS crystal
Y 0.000 0.000 0.000
Y 0.000 0.308 0.536
Y 0.000 0.536 0.308
P 0.500 0.271 0.271
P 0.500 0.481 0.826
P 0.500 0.826 0.481
Pb 0.000 0.145 0.745
Pb 0.000 0.745 0.145
Pb 0.500 0.673 0.673
```

=====

12.
Below is an optimized crystal structure of Y3PPb, with properties calculated at the PBE level. Values from VASP.

Calculated values
Fermi-level density of states: 7.70 states/eV/cell
ΔE to the lowest computed polymorph: 211.6 meV/atom
SG: P6_3/mmc
Energy of formation: -703 meV per atom
Calculated volume: 257.87 Å³/cell

Cell and atoms, written as Quantum ESPRESSO input:
```
&SYSTEM
  ibrav = 0, nat = 10, ntyp = 3
/
ATOMIC_SPECIES
Y 88.91 Y.upf
P 30.97 P.upf
Pb 207.20 Pb.upf
CELL_PARAMETERS angstrom
5.205 0.000 0.000
-2.603 4.508 0.000
0.000 0.000 10.989
ATOMIC_POSITIONS crystal
Y 0.000 0.000 0.250
Y 0.000 0.000 0.750
Y 0.333 0.667 0.073
Y 0.333 0.667 0.427
Y 0.667 0.333 0.573
Y 0.667 0.333 0.927
P 0.000 0.000 0.000
P 0.000 0.000 0.500
Pb 0.333 0.667 0.750
Pb 0.667 0.333 0.250
```

=====

- Among the records above, which one has the lowest Fermi-level density of states?
  number 5

=====

- Which of these has the highest Fermi-level density of states?
  number 10